Record 1
Below is a geometry-optimized Al2InGe structure, with properties calculated at the PBEsol level.

The structure in POSCAR format:
```
Al2InGe
1.0
0.0000 3.3833 3.3833
3.3833 0.0000 3.3833
3.3833 3.3833 0.0000
Al In Ge
2 1 1
Direct
0.2500 0.2500 0.2500
0.7500 0.7500 0.7500
0.0000 0.0000 0.0000
0.5000 0.5000 0.5000
```

The calculation puts the density of states at the Fermi level at 0.49 states/eV/atom. As for the volume: 77.5 Å³/cell. Its formation enthalpy at 0 K is 204 meV per atom. The electronic total energy comes out at -3.82 eV/atom.

---

Record 2
Below is a geometry-optimized RbNbH2 structure, with properties calculated at the PBEsol level.

The structure in POSCAR format:
```
RbNbH2
1.0
0.0000 3.1923 3.1923
3.1923 0.0000 3.1923
3.1923 3.1923 0.0000
Rb Nb H
1 1 2
Direct
0.0000 0.0000 0.0000
0.5000 0.5000 0.5000
0.2500 0.2500 0.2500
0.7500 0.7500 0.7500
```

The calculation puts the density of states at the Fermi level at 0.61 states/eV/atom. As for the volume: 65.1 Å³/cell. The electronic total energy comes out at -3.28 eV/atom.

---

Record 3
Below is a geometry-optimized MnBeTe2 structure, with properties calculated at the PBEsol level.

The structure in POSCAR format:
```
MnBeTe2
1.0
2.1191 1.2235 7.3590
-2.1191 1.2235 7.3590
0.0000 -2.4469 7.3590
Mn Be Te
1 1 2
Direct
0.0000 0.0000 0.0000
0.5000 0.5000 0.5000
0.3989 0.3989 0.3989
0.6011 0.6011 0.6011
```

For the formation energy from raw total energies, the calculation gives 1.10 eV per formula unit. The calculation puts the density of states at the Fermi level at 0.28 states/eV/atom. As for the volume: 114.5 Å³/cell. The electronic total energy comes out at -4.93 eV/atom.

---

Record 4
Below is a geometry-optimized CuAu2Cl structure, with properties calculated at the PBEsol level.

The structure in POSCAR format:
```
CuAu2Cl
1.0
-1.4308 2.9373 4.2651
1.4308 -2.9373 4.2651
1.4308 2.9373 -4.2651
Cu Au Cl
1 2 1
Direct
0.0000 0.0000 0.0000
0.4850 0.4850 0.0000
0.7580 0.2580 0.5000
0.2054 0.7054 0.5000
```

For the formation energy from raw total energies, the calculation gives 0.90 eV per formula unit. The calculation puts the density of states at the Fermi level at 0.46 states/eV/atom. As for the volume: 71.7 Å³/cell. The value obtained for the energy above the lowest structure with this stoichiometry is 137 meV/atom. The electronic total energy comes out at -3.32 eV/atom.

---

Record 5
Below is a geometry-optimized RbTaOsBr2 structure, with properties calculated at the PBEsol level.

The structure in POSCAR format:
```
RbTaOsBr2
1.0
5.4899 0.0000 0.0000
0.0000 5.4899 0.0000
0.0000 0.0000 4.7344
Rb Ta Os Br
1 1 1 2
Direct
0.0000 0.0000 0.0000
0.5000 0.5000 0.0000
0.5000 0.5000 0.5000
0.0000 0.5000 0.5000
0.5000 0.0000 0.5000
```

For the formation energy from raw total energies, the calculation gives 3.56 eV per formula unit. The calculation puts the density of states at the Fermi level at 0.71 states/eV/atom. As for the volume: 142.7 Å³/cell. The electronic total energy comes out at -5.20 eV/atom.

---

Record 6
Below is a geometry-optimized Bi2Te7Cl8 structure, with properties calculated at the PBEsol level.

The structure in POSCAR format:
```
Bi2Te7Cl8
1.0
5.4050 0.0000 0.0000
-1.5305 13.1199 0.0000
-1.2667 -3.5844 14.2972
Bi Te Cl
4 14 16
Direct
0.0705 0.4064 0.1092
0.1896 0.7417 0.2229
0.8104 0.2583 0.7771
0.9295 0.5936 0.8908
0.0584 0.6525 0.5452
0.1746 0.9625 0.6526
0.1817 0.0156 0.9320
0.2202 0.1605 0.4710
0.3605 0.4918 0.5736
0.4461 0.8500 0.9355
0.4753 0.8103 0.6685
0.5247 0.1897 0.3315
0.5539 0.1500 0.0645
0.6395 0.5082 0.4264
0.7798 0.8395 0.5290
0.8183 0.9844 0.0680
0.8254 0.0375 0.3474
0.9416 0.3475 0.4548
0.0037 0.7570 0.8080
0.0915 0.5496 0.2780
0.1494 0.2581 0.9579
0.1984 0.8564 0.3922
0.2791 0.5790 0.0568
0.3518 0.2739 0.7279
0.3574 0.9226 0.1890
0.4662 0.6032 0.8330
0.5338 0.3968 0.1670
0.6426 0.0774 0.8110
0.6482 0.7261 0.2721
0.7209 0.4210 0.9432
0.8016 0.1436 0.6078
0.8506 0.7419 0.0421
0.9085 0.4504 0.7220
0.9963 0.2430 0.1920
```

For the formation energy from raw total energies, the calculation gives -8.86 eV per formula unit. As for the volume: 1013.9 Å³/cell. The electronic total energy comes out at -3.42 eV/atom.

---

Record 7
Below is a geometry-optimized MgZnSb2S structure, with properties calculated at the PBEsol level.

The structure in POSCAR format:
```
MgZnSb2S
1.0
5.2614 0.0000 0.0000
0.0000 5.2614 0.0000
0.0000 0.0000 4.5317
Mg Zn Sb S
1 1 2 1
Direct
0.0000 0.0000 0.0000
0.5000 0.5000 0.0000
0.0000 0.5000 0.5000
0.5000 0.0000 0.5000
0.5000 0.5000 0.5000
```

For the formation energy from raw total energies, the calculation gives 1.25 eV per formula unit. The calculation puts the density of states at the Fermi level at 0.50 states/eV/atom. As for the volume: 125.4 Å³/cell. The electronic total energy comes out at -3.11 eV/atom.

---

Record 8
Below is a geometry-optimized UTaN2 structure, with properties calculated at the PBEsol level.

The structure in POSCAR format:
```
UTaN2
1.0
5.5817 0.0000 0.0000
0.0000 3.1974 0.0000
0.0000 0.0000 10.9289
U Ta N
4 4 8
Direct
0.0784 0.2500 0.1434
0.4216 0.7500 0.6434
0.5784 0.2500 0.3566
0.9216 0.7500 0.8566
0.0765 0.7500 0.3980
0.4235 0.2500 0.8980
0.5765 0.7500 0.1020
0.9235 0.2500 0.6020
0.1633 0.2500 0.7544
0.2393 0.7500 0.9957
0.2607 0.2500 0.4957
0.3367 0.7500 0.2544
0.6633 0.2500 0.7456
0.7393 0.7500 0.5043
0.7607 0.2500 0.0043
0.8367 0.7500 0.2456
```

For the formation energy from raw total energies, the calculation gives -5.87 eV per formula unit. The calculation puts the density of states at the Fermi level at 0.85 states/eV/atom. As for the volume: 195.0 Å³/cell. The electronic total energy comes out at -11.91 eV/atom.